(1)
{"formula": "Sr2AlAsRh", "functional": "PBEsol", "state": "optimized geometry", "lattice": [[4.4930, 0.0000, 0.0000], [0.0000, 5.8236, 0.0000], [0.0000, 0.0000, 5.8236]], "species": ["Sr", "Sr", "As", "Rh", "Al"], "fractional_positions": [[0.0000, 0.0000, 0.5000], [0.0000, 0.5000, 0.0000], [0.0000, 0.0000, 0.0000], [0.5000, 0.0000, 0.0000], [0.5000, 0.5000, 0.5000]], "n_ef_per_ev_cell": 3.4, "delta_e_f_ev_per_atom": -0.11}



(2)
{"formula": "AlAsRu2", "functional": "PBEsol", "state": "optimized geometry", "lattice": [[-0.4828, 2.7875, 0.4012], [-2.2601, -1.6251, -0.6442], [-1.2428, -1.3234, 7.6990]], "species": ["Ru", "Ru", "As", "Al"], "fractional_positions": [[0.0000, 0.0000, 0.2443], [0.0000, 0.0000, 0.7557], [0.5000, 0.5000, 0.0000], [0.5000, 0.5000, 0.5000]], "de_polymorph_mev_per_atom": 408.8, "n_ef_per_ev_cell": 2.9, "delta_e_f_ev_per_atom": 0.00}



(3)
{"formula": "AlAsRu2", "functional": "PBEsol", "state": "optimized geometry", "lattice": [[3.0185, 0.0000, 0.0000], [0.0000, 4.2071, 0.0000], [0.0000, 0.0000, 4.2071]], "species": ["Ru", "Ru", "As", "Al"], "fractional_positions": [[0.0000, 0.0000, 0.5000], [0.0000, 0.5000, 0.0000], [0.5000, 0.0000, 0.0000], [0.5000, 0.5000, 0.5000]], "de_polymorph_mev_per_atom": 0.0, "n_ef_per_ev_cell": 1.0, "delta_e_f_ev_per_atom": -0.41}



(4)
{"formula": "AlAsRu", "functional": "PBEsol", "state": "optimized geometry", "lattice": [[-1.9996, 1.3644, 1.5645], [-0.6124, -2.7006, -0.7997], [3.9340, -1.4761, 4.8463]], "species": ["Ru", "As", "Al"], "fractional_positions": [[0.3325, 0.3325, 0.6651], [0.6777, 0.6777, 0.3554], [0.9898, 0.9898, 0.9795]], "n_ef_per_ev_cell": 2.2, "delta_e_f_ev_per_atom": 0.08}



(5)
{"formula": "AlAs2RuSe", "functional": "PBEsol", "state": "optimized geometry", "lattice": [[4.5822, 0.0000, 0.0000], [0.0000, 4.5822, 0.0000], [0.0000, 0.0000, 5.3050]], "species": ["Ru", "As", "As", "Al", "Se"], "fractional_positions": [[0.0000, 0.0000, 0.0000], [0.0000, 0.5000, 0.0000], [0.5000, 0.0000, 0.0000], [0.5000, 0.5000, 0.5000], [0.0000, 0.0000, 0.5000]], "formation_energy_uncorrected_ev_per_atom": 0.477, "n_ef_per_ev_cell": 3.7}



(6)
{"formula": "AlAsS2", "functional": "PBEsol", "state": "optimized geometry", "lattice": [[-3.1438, -1.1555, 0.9634], [-0.3808, -1.7063, 3.0150], [-2.5387, 5.8006, 4.9764]], "species": ["As", "S", "S", "Al"], "fractional_positions": [[0.5000, 0.5000, 0.5000], [0.8985, 0.8985, 0.3046], [0.1015, 0.1015, 0.6954], [0.0000, 0.0000, 0.0000]], "formation_energy_uncorrected_ev_per_atom": 0.002, "n_ef_per_ev_cell": 0.7}



(7)
{"formula": "Al2SbAs", "functional": "PBEsol", "state": "optimized geometry", "lattice": [[-1.6495, 2.2806, 1.0373], [1.2567, -0.8966, 2.5719], [6.9480, 5.6704, -1.4181]], "species": ["Sb", "As", "Al", "Al"], "fractional_positions": [[0.5000, 0.5000, 0.2224], [0.0000, 0.0000, 0.5558], [0.0000, 0.0000, 0.9680], [0.5000, 0.5000, 0.7538]], "de_polymorph_mev_per_atom": 391.4, "formation_energy_uncorrected_ev_per_atom": 0.135, "n_ef_per_ev_cell": 1.7}



(8)
{"formula": "AlSb2As", "functional": "PBEsol", "state": "optimized geometry", "lattice": [[3.6215, 0.0000, 0.0000], [0.0000, 4.7719, -0.0214], [-1.8108, -2.1934, 5.3114]], "species": ["Sb", "Sb", "As", "Al"], "fractional_positions": [[0.9936, 0.9712, 0.9871], [0.8004, 0.3357, 0.6008], [0.1850, 0.7315, 0.3699], [0.5211, 0.4616, 0.0421]], "de_polymorph_mev_per_atom": 137.8, "formation_energy_uncorrected_ev_per_atom": 0.120, "n_ef_per_ev_cell": 1.6}